# 1
An optimized crystal structure of OsCSe2. Source: Alexandria via LeMat-Bulk, functional GGA-PBE.

CIF file:
```
data_OsCSe2
_chemical_formula_sum 'Os4 C4 Se8'
_cell_length_a 5.449
_cell_length_b 5.449
_cell_length_c 9.480
_cell_angle_alpha 90.00
_cell_angle_beta 90.00
_cell_angle_gamma 90.00
_symmetry_space_group_name_H-M 'I -4 2 d'
_symmetry_Int_Tables_number 122
_symmetry_space_group_name_Hall 'I -4 2bw'
loop_
_atom_site_label
_atom_site_fract_x
_atom_site_fract_y
_atom_site_fract_z
Os1 0.000 0.000 0.000
C1 0.000 0.000 0.500
Se1 0.215 0.250 0.625
```

Summary:
final energy: -89.706 eV/cell
uncorrected formation energy: 1249 meV per atom

---

# 2
An optimized crystal structure of Tb7Ag2Pb2. Source: Alexandria via LeMat-Bulk, functional GGA-PBE.

CIF file:
```
data_Tb7Ag2Pb2
_chemical_formula_sum 'Tb14 Ag4 Pb4'
_cell_length_a 8.469
_cell_length_b 11.348
_cell_length_c 7.149
_cell_angle_alpha 90.00
_cell_angle_beta 90.00
_cell_angle_gamma 90.00
_symmetry_space_group_name_H-M 'C m m m'
_symmetry_Int_Tables_number 65
_symmetry_space_group_name_Hall '-C 2 2'
loop_
_atom_site_label
_atom_site_fract_x
_atom_site_fract_y
_atom_site_fract_z
Tb1 0.000 0.000 0.000
Tb2 0.000 0.500 0.244
Tb3 0.250 0.250 0.264
Ag1 0.000 0.285 0.000
Pb1 0.183 0.000 0.500
```

Summary:
final energy: -91.772 eV/cell
formation energy: -0.03 eV per atom

---

# 3
An optimized crystal structure of Pm2TmHg4Pb. Source: Alexandria via LeMat-Bulk, functional GGA-PBE.

CIF file:
```
data_Pm2TmHg4Pb
_chemical_formula_sum 'Pm6 Tm3 Hg12 Pb3'
_cell_length_a 5.2860
_cell_length_b 5.2860
_cell_length_c 26.3992
_cell_angle_alpha 90.00
_cell_angle_beta 90.00
_cell_angle_gamma 120.00
_symmetry_space_group_name_H-M 'R -3 m'
_symmetry_Int_Tables_number 166
_symmetry_space_group_name_Hall '-R 3 2"'
loop_
_atom_site_label
_atom_site_fract_x
_atom_site_fract_y
_atom_site_fract_z
Pm1 0.0000 0.0000 0.2431
Tm1 0.0000 0.0000 0.0000
Hg1 0.0000 0.0000 0.1176
Hg2 0.0000 0.0000 0.3667
Pb1 0.0000 0.0000 0.5000
```

Summary:
final energy: -66.947 eV/cell
formation energy: -0.43 eV per atom

---

# 4
An optimized crystal structure of Ba8Ta2Ru3Br2O18. Source: Alexandria via LeMat-Bulk, functional GGA-PBE.

CIF file:
```
data_Ba8Ta2Ru3Br2O18
_chemical_formula_sum 'Ba24 Ta6 Ru9 Br6 O54'
_cell_length_a 5.9431
_cell_length_b 5.9431
_cell_length_c 60.1484
_cell_angle_alpha 90.00
_cell_angle_beta 90.00
_cell_angle_gamma 120.00
_symmetry_space_group_name_H-M 'R -3 m'
_symmetry_Int_Tables_number 166
_symmetry_space_group_name_Hall '-R 3 2"'
loop_
_atom_site_label
_atom_site_fract_x
_atom_site_fract_y
_atom_site_fract_z
Ba1 0.0000 0.0000 0.0582
Ba2 0.0000 0.0000 0.1297
Ba3 0.0000 0.0000 0.2429
Ba4 0.0000 0.0000 0.3122
Ta1 0.0000 0.0000 0.4172
Ru1 0.0000 0.0000 0.0000
Ru2 0.0000 0.0000 0.3696
Br1 0.0000 0.0000 0.1874
O1 0.0041 0.5020 0.6856
O2 0.0062 0.5031 0.2349
O3 0.0336 0.5168 0.0585
```

Summary:
final energy: -709.205 eV/cell
uncorrected formation energy: -2330 meV per atom

---

# 5
An optimized crystal structure of UBiSb. Source: Alexandria via LeMat-Bulk, functional GGA-PBE.

CIF file:
```
data_UBiSb
_chemical_formula_sum 'U2 Bi2 Sb2'
_cell_length_a 4.416
_cell_length_b 4.416
_cell_length_c 8.823
_cell_angle_alpha 90.00
_cell_angle_beta 90.00
_cell_angle_gamma 90.00
_symmetry_space_group_name_H-M 'P 4/n m m'
_symmetry_Int_Tables_number 129
loop_
_symmetry_equiv_pos_as_xyz
'x,y,z'
'-x,-y,-z'
'-y+1/2,x,z'
'y+1/2,-x,-z'
'-x+1/2,-y+1/2,z'
'x+1/2,y+1/2,-z'
'y,-x+1/2,z'
'-y,x+1/2,-z'
'x+1/2,-y,-z'
'-x+1/2,y,z'
'-y,-x,-z'
'y,x,z'
'-x,y+1/2,-z'
'x,-y+1/2,z'
'y+1/2,x+1/2,-z'
'-y+1/2,-x+1/2,z'
loop_
_atom_site_label
_atom_site_fract_x
_atom_site_fract_y
_atom_site_fract_z
U1 0.250 0.250 0.206
Bi1 0.250 0.750 0.500
Sb1 0.250 0.250 0.854
```

Summary:
energy above the most stable polymorph in this dataset: 0.000 eV per formula unit
final energy: -39.305 eV/cell
uncorrected formation energy: -120 meV per atom

---

# 6
An optimized crystal structure of BeSb2Te. Source: Alexandria via LeMat-Bulk, functional GGA-PBE.

CIF file:
```
data_BeSb2Te
_chemical_formula_sum 'Be2 Sb4 Te2'
_cell_length_a 3.594
_cell_length_b 4.862
_cell_length_c 11.684
_cell_angle_alpha 90.00
_cell_angle_beta 90.00
_cell_angle_gamma 90.00
_symmetry_space_group_name_H-M 'I m m 2'
_symmetry_Int_Tables_number 44
_symmetry_space_group_name_Hall 'I 2 -2'
loop_
_atom_site_label
_atom_site_fract_x
_atom_site_fract_y
_atom_site_fract_z
Be1 0.000 0.000 0.000
Sb1 0.000 0.000 0.521
Sb2 0.000 0.500 0.677
Te1 0.000 0.500 0.350
```

Summary:
energy above the most stable polymorph in this dataset: 0.611 eV per formula unit
final energy: -28.290 eV/cell
uncorrected formation energy: 242 meV per atom

---

# 7
An optimized crystal structure of BaMnW. Source: Alexandria via LeMat-Bulk, functional GGA-PBE.

CIF file:
```
data_BaMnW
_chemical_formula_sum 'Ba1 Mn1 W1'
_cell_length_a 4.0840
_cell_length_b 4.0840
_cell_length_c 5.5353
_cell_angle_alpha 90.00
_cell_angle_beta 90.00
_cell_angle_gamma 120.00
_symmetry_space_group_name_H-M 'P 3 m 1'
_symmetry_Int_Tables_number 156
_symmetry_space_group_name_Hall 'P 3 -2"'
loop_
_atom_site_label
_atom_site_fract_x
_atom_site_fract_y
_atom_site_fract_z
Ba1 0.0000 0.0000 0.0000
Mn1 0.6667 0.3333 0.4990
W1 0.3333 0.6667 0.5007
```

Summary:
energy above the most stable polymorph in this dataset: 0.527 eV per formula unit
final energy: -20.988 eV/cell
formation energy: 1.02 eV per atom

---

# 8
An optimized crystal structure of Sm4SbAs2. Source: Alexandria via LeMat-Bulk, functional GGA-PBE.

CIF file:
```
data_Sm4SbAs2
_chemical_formula_sum 'Sm16 Sb4 As8'
_cell_length_a 4.256
_cell_length_b 13.800
_cell_length_c 13.967
_cell_angle_alpha 90.00
_cell_angle_beta 90.00
_cell_angle_gamma 90.00
_symmetry_space_group_name_H-M 'C m c m'
_symmetry_Int_Tables_number 63
_symmetry_space_group_name_Hall '-C 2c 2'
loop_
_atom_site_label
_atom_site_fract_x
_atom_site_fract_y
_atom_site_fract_z
Sm1 0.000 0.000 0.000
Sm2 0.000 0.268 0.120
Sm3 0.000 0.444 0.750
Sb1 0.000 0.108 0.750
As1 0.000 0.364 0.560
```

Summary:
final energy: -162.837 eV/cell
uncorrected formation energy: -1202 meV per atom

---

# 9
An optimized crystal structure of La6S2N3Cl. Source: Alexandria via LeMat-Bulk, functional GGA-PBE.

CIF file:
```
data_La6S2N3Cl
_chemical_formula_sum 'La12 S4 N6 Cl2'
_cell_length_a 17.552
_cell_length_b 3.854
_cell_length_c 8.128
_cell_angle_alpha 90.00
_cell_angle_beta 107.73
_cell_angle_gamma 90.00
_symmetry_space_group_name_H-M 'C 1 2/m 1'
_symmetry_Int_Tables_number 12
_symmetry_space_group_name_Hall '-C 2y'
loop_
_atom_site_label
_atom_site_fract_x
_atom_site_fract_y
_atom_site_fract_z
La1 0.012 0.000 0.219
La2 0.160 0.500 0.102
La3 0.179 0.500 0.561
S1 0.163 0.000 0.827
N1 0.000 0.500 0.000
N2 0.169 0.000 0.334
Cl1 0.000 0.500 0.500
```

Summary:
final energy: -170.547 eV/cell
uncorrected formation energy: -1719 meV per atom

---

# 10
An optimized crystal structure of LiAl3Ga. Source: Alexandria via LeMat-Bulk, functional GGA-PBE.

CIF file:
```
data_LiAl3Ga
_chemical_formula_sum 'Li4 Al12 Ga4'
_cell_length_a 6.892
_cell_length_b 6.892
_cell_length_c 6.892
_cell_angle_alpha 90.00
_cell_angle_beta 90.00
_cell_angle_gamma 90.00
_symmetry_space_group_name_H-M 'P 21 3'
_symmetry_Int_Tables_number 198
_symmetry_space_group_name_Hall 'P 2ac 2ab 3'
loop_
_atom_site_label
_atom_site_fract_x
_atom_site_fract_y
_atom_site_fract_z
Li1 0.057 0.057 0.057
Al1 0.051 0.875 0.702
Ga1 0.187 0.813 0.313
```

Summary:
energy above the most stable polymorph in this dataset: 0.000 eV per formula unit
final energy: -65.237 eV/cell
formation energy: -0.03 eV per atom

---

# 11
An optimized crystal structure of FeGeI3. Source: Alexandria via LeMat-Bulk, functional GGA-PBE.

CIF file:
```
data_FeGeI3
_chemical_formula_sum 'Fe1 Ge1 I3'
_cell_length_a 5.770
_cell_length_b 5.770
_cell_length_c 5.770
_cell_angle_alpha 90.00
_cell_angle_beta 90.00
_cell_angle_gamma 90.00
_symmetry_space_group_name_H-M 'P m -3 m'
_symmetry_Int_Tables_number 221
_symmetry_space_group_name_Hall '-P 4 2 3'
loop_
_atom_site_label
_atom_site_fract_x
_atom_site_fract_y
_atom_site_fract_z
Fe1 0.000 0.000 0.000
Ge1 0.500 0.500 0.500
I1 0.000 0.500 0.500
```

Summary:
energy above the most stable polymorph in this dataset: 1.091 eV per formula unit
final energy: -14.545 eV/cell
uncorrected formation energy: 637 meV per atom

---

# 12
An optimized crystal structure of YZrPa. Source: Alexandria via LeMat-Bulk, functional GGA-PBE.

CIF file:
```
data_YZrPa
_chemical_formula_sum 'Y1 Zr1 Pa1'
_cell_length_a 5.2401
_cell_length_b 5.2401
_cell_length_c 3.3354
_cell_angle_alpha 90.00
_cell_angle_beta 90.00
_cell_angle_gamma 120.00
_symmetry_space_group_name_H-M 'P -6 m 2'
_symmetry_Int_Tables_number 187
_symmetry_space_group_name_Hall 'P -6 2'
loop_
_atom_site_label
_atom_site_fract_x
_atom_site_fract_y
_atom_site_fract_z
Y1 0.0000 0.0000 0.0000
Zr1 0.3333 0.6667 0.5000
Pa1 0.6667 0.3333 0.5000
```

Summary:
energy above the most stable polymorph in this dataset: 0.033 eV per formula unit
final energy: -23.959 eV/cell
formation energy: 0.18 eV per atom